Here is an optimized crystal structure of SrGa3Tc from Alexandria via LeMat-Bulk. Energies are from PBE.

Computed properties:
Calculated total energy, eV per atom: -3.945
Energy relative to the elements, meV per atom: 281
Polymorph energy (0 for the lowest one), meV/atom: 642

a b c (Å): 3.576 7.648 7.648
angles (deg): 138.74 90.00 90.00
Atoms (fractional coordinates):
Sr1 0.500 0.096 0.904
Tc1 0.000 0.465 0.535
Ga1 0.500 0.121 0.338
Ga2 0.500 0.662 0.879
Ga3 0.000 0.285 0.715